A plane-wave DFT calculation with PBE-GGA was carried out for an optimized crystal structure of Dy2Be3CoNi12.

Unit cell a=7.3447 b=7.3447 c=16.1292 alpha=90.00 beta=90.00 gamma=120.00
Space group R-3m (No. 166, hexagonal axes)
Unique sites:
Dy: 0.0000 0.0000 0.1061
Be: 0.0000 0.5000 0.0000
Co: 0.0000 0.0000 0.5000
Ni: 0.0084 0.5042 0.8730
Ni: 0.0407 0.5204 0.3664

Computed properties:
- ΔE_f (eV/atom) = 0.27
- total DFT energy (no corrections) (eV per atom) = -5.107
- volume (A^3/atom) = 13.95